one) A relaxed KTa3Fe crystal, computed with PBE-GGA.

Cell lengths 4.7622, 4.7622, 4.7622 Å; angles 90.00, 90.00, 90.00 degrees
Atoms (fractional coordinates):
K 0.0000 0.0000 0.0000
Ta 0.0000 0.5000 0.5000
Ta 0.5000 0.0000 0.5000
Ta 0.5000 0.5000 0.0000
Fe 0.5000 0.5000 0.5000

Space group   Pm-3m

two) A relaxed KTa3Fe crystal, computed with PBE-GGA.

Cell lengths 4.5404, 4.5404, 4.5404 Å; angles 90.00, 90.00, 90.00 degrees
Atoms (fractional coordinates):
K 0.0000 0.0000 0.0000
Ta 0.0000 0.0000 0.5000
Ta 0.0000 0.5000 0.0000
Ta 0.5000 0.0000 0.0000
Fe 0.5000 0.5000 0.5000

Space group   Pm-3m

Most stable: one) (next structure +2.073 eV/atom)

one) A relaxed K3TaFe crystal, computed with PBE-GGA.

Cell lengths 6.6885, 6.6885, 6.6885 Å; angles 90.00, 90.00, 90.00 degrees
Atoms (fractional coordinates):
K 0.0000 0.0000 0.5000
K 0.0000 0.5000 0.0000
K 0.5000 0.0000 0.0000
Ta 0.0000 0.0000 0.0000
Fe 0.5000 0.5000 0.5000

Space group   Pm-3m

two) A relaxed K3TaFe crystal, computed with PBE-GGA.

Cell lengths 6.1476, 6.1476, 6.1476 Å; angles 90.00, 90.00, 90.00 degrees
Atoms (fractional coordinates):
K 0.0000 0.0000 0.5000
K 0.0000 0.5000 0.0000
K 0.5000 0.0000 0.0000
Ta 0.5000 0.5000 0.5000
Fe 0.0000 0.0000 0.0000

Space group   Pm-3m

Most stable: two) (next structure +0.066 eV/atom)

one) A relaxed KFe2Tc crystal, computed with PBE-GGA.

Cell lengths 5.8683, 5.8683, 5.8683 Å; angles 106.26, 106.26, 116.10 degrees
Atoms (fractional coordinates):
K 0.0000 0.0000 0.0000
K 0.7500 0.2500 0.5000
Fe 0.2030 0.6250 0.0780
Fe 0.3750 0.4530 0.5780
Fe 0.5470 0.1250 0.9220
Fe 0.8750 0.7970 0.4220
Tc 0.2500 0.7500 0.5000
Tc 0.5000 0.5000 0.0000

Space group   I-42d

two) A relaxed KFe2Tc crystal, computed with PBE-GGA.

Cell lengths 2.7577, 3.7015, 7.6084 Å; angles 90.00, 90.77, 90.00 degrees
Atoms (fractional coordinates):
K 0.0000 0.0000 0.0000
Fe 0.4934 0.5000 0.3504
Fe 0.5066 0.5000 0.6496
Tc 0.0000 0.0000 0.5000

Space group   P2/m

Most stable: two) (next structure +0.795 eV/atom)

one) A relaxed KFe2Tc crystal, computed with PBE-GGA.

Cell lengths 5.9900, 5.9900, 5.9900 Å; angles 153.88, 124.63, 62.21 degrees
Atoms (fractional coordinates):
K 0.0000 0.0000 0.0000
Fe 0.2941 0.7941 0.5000
Fe 0.7059 0.2059 0.5000
Tc 0.5000 0.5000 0.0000

Space group   Immm

two) A relaxed KFe2Tc crystal, computed with PBE-GGA.

Cell lengths 4.4711, 4.4711, 4.4711 Å; angles 60.00, 60.00, 60.00 degrees
Atoms (fractional coordinates):
K 0.0000 0.0000 0.0000
Fe 0.2500 0.2500 0.2500
Fe 0.5000 0.5000 0.5000
Tc 0.7500 0.7500 0.7500

Space group   F-43m

three) A relaxed KFe2Tc crystal, computed with PBE-GGA.

Cell lengths 5.0785, 5.0785, 2.5913 Å; angles 90.00, 90.00, 90.00 degrees
Atoms (fractional coordinates):
K 0.0000 0.0000 0.0000
Fe 0.0000 0.5000 0.5000
Fe 0.5000 0.0000 0.5000
Tc 0.5000 0.5000 0.0000

Space group   P4/mmm

four) A relaxed KFe2Tc crystal, computed with PBE-GGA.

Cell lengths 4.3838, 4.3838, 4.3838 Å; angles 60.00, 60.00, 60.00 degrees
Atoms (fractional coordinates):
K 0.0000 0.0000 0.0000
Fe 0.2500 0.2500 0.2500
Fe 0.7500 0.7500 0.7500
Tc 0.5000 0.5000 0.5000

Space group   Fm-3m

Most stable: three) (next structure +0.043 eV/atom)

one) A relaxed KFe2Tc crystal, computed with PBE-GGA.

Cell lengths 5.1866, 5.1866, 2.5790 Å; angles 90.00, 90.00, 105.42 degrees
Atoms (fractional coordinates):
K 0.0000 0.0000 0.0000
Fe 0.0000 0.5000 0.5000
Fe 0.5000 0.0000 0.5000
Tc 0.5000 0.5000 0.0000

Space group   Cmmm

two) A relaxed KFe2Tc crystal, computed with PBE-GGA.

Cell lengths 5.8713, 5.8713, 5.8713 Å; angles 154.29, 127.16, 59.67 degrees
Atoms (fractional coordinates):
K 0.0000 0.0000 0.0000
Fe 0.5106 0.5106 0.0000
Fe 0.7102 0.2102 0.5000
Tc 0.2970 0.7970 0.5000

Space group   Imm2

Most stable: two) (next structure +0.128 eV/atom)

one) A relaxed KFe2Tc crystal, computed with PBE-GGA.

Cell lengths 10.0548, 10.0548, 10.0548 Å; angles 15.80, 15.80, 15.80 degrees
Atoms (fractional coordinates):
K 0.0000 0.0000 0.0000
Fe 0.2350 0.2350 0.2350
Fe 0.7650 0.7650 0.7650
Tc 0.5000 0.5000 0.5000

Space group   R-3m

two) A relaxed KFe2Tc crystal, computed with PBE-GGA.

Cell lengths 2.8392, 2.8392, 8.8700 Å; angles 90.00, 90.00, 90.00 degrees
Atoms (fractional coordinates):
K 0.0000 0.0000 0.0000
Fe 0.0000 0.0000 0.5025
Fe 0.5000 0.5000 0.6625
Tc 0.5000 0.5000 0.3287

Space group   P4mm

Most stable: two) (next structure +0.139 eV/atom)